[1]
Compound: TlCuIr2
Source: Alexandria
Functional: PBE
Structure: relaxed

Properties
**E_form**: 0.40 eV/atom

a b c (Å): 3.760 2.836 6.718
angles (deg): 65.00 90.00 90.00
Positions (direct):
Ir1 0.500 0.285 0.214
Tl1 0.000 0.492 0.508
Cu1 0.500 0.715 0.785
Ir2 0.000 0.008 0.993

***

[2]
Compound: Rb3Ga2Sn9Hg
Source: Alexandria
Functional: PBE
Structure: relaxed

Properties
**E_form**: 0.06 eV/atom

a b c (Å): 9.155 9.155 9.367
angles (deg): 90.00 90.00 120.00
Positions (direct):
Sn1 0.220 0.439 0.222
Rb1 0.333 0.667 0.584
Rb2 0.667 0.333 0.416
Sn2 0.220 0.780 0.222
Ga1 0.333 0.667 0.938
Hg1 0.000 0.000 0.500
Rb3 0.000 0.000 0.000
Sn3 0.780 0.561 0.778
Sn4 0.500 0.000 0.000
Sn5 0.780 0.220 0.778
Sn6 0.561 0.780 0.222
Sn7 0.000 0.500 0.000
Sn8 0.439 0.220 0.778
Sn9 0.500 0.500 0.000
Ga2 0.667 0.333 0.062

***

[3]
Compound: Pu4Cu3Pd
Source: Alexandria
Functional: PBE
Structure: relaxed

Properties
**E_form**: -0.02 eV/atom

a b c (Å): 3.765 4.301 10.793
angles (deg): 90.00 90.00 90.00
Positions (direct):
Pu1 0.000 0.000 0.153
Pu2 0.500 0.000 0.649
Pu3 0.000 0.500 0.846
Cu1 0.000 0.000 0.437
Cu2 0.500 0.000 0.928
Pd1 0.500 0.500 0.069
Cu3 0.000 0.500 0.564
Pu4 0.500 0.500 0.353

***

[4]
Compound: Ac6Ir2Au3S
Source: Alexandria
Functional: PBE
Structure: relaxed

Properties
**DFT total energy**: -5.669 eV/atom

a b c (Å): 7.685 7.685 7.797
angles (deg): 99.36 99.36 119.97
Positions (direct):
S1 0.000 0.000 0.000
Ac1 0.729 0.729 0.222
Au1 0.500 0.500 0.500
Au2 0.841 0.159 0.500
Ac2 0.077 0.423 0.229
Ir1 0.333 0.667 0.000
Au3 0.159 0.841 0.500
Ac3 0.923 0.577 0.771
Ac4 0.271 0.271 0.778
Ac5 0.577 0.923 0.771
Ac6 0.423 0.077 0.229
Ir2 0.667 0.333 0.000

***

[5]
Compound: Rh3WBr
Source: Alexandria
Functional: PBE
Structure: relaxed

Properties
**DFT total energy**: -6.126 eV/atom

a b c (Å): 4.770 4.770 4.770
angles (deg): 90.00 90.00 90.00
Positions (direct):
Br1 0.500 0.500 0.500
Rh1 0.500 0.000 0.000
Rh2 0.000 0.000 0.500
W1 0.000 0.000 0.000
Rh3 0.000 0.500 0.000

***

[6]
Compound: MgBeAl2Tc
Source: Alexandria
Functional: PBE
Structure: relaxed

Properties
**E_form**: 0.70 eV/atom

a b c (Å): 4.259 4.461 4.259
angles (deg): 90.00 90.00 90.00
Positions (direct):
Al1 0.500 0.000 0.000
Be1 0.000 0.000 0.000
Tc1 0.500 0.500 0.500
Al2 0.000 0.000 0.500
Mg1 0.000 0.500 0.000

***

[7]
Compound: K2TcAu
Source: Alexandria
Functional: PBE
Structure: relaxed

Properties
**E_form**: 0.65 eV/atom

a b c (Å): 3.690 3.690 10.048
angles (deg): 90.00 90.00 90.00
Positions (direct):
Tc1 0.000 0.000 0.594
K1 0.000 0.000 0.913
K2 0.500 0.500 0.331
Au1 0.500 0.500 0.662

***

[8]
Compound: TeRuN2O
Source: Alexandria
Functional: PBE
Structure: relaxed

Properties
**DFT total energy**: -6.074 eV/atom

a b c (Å): 3.672 3.672 5.792
angles (deg): 90.00 90.00 90.00
Positions (direct):
Ru1 0.000 0.000 0.000
N1 0.000 0.500 0.000
N2 0.500 0.000 0.000
O1 0.500 0.500 0.500
Te1 0.000 0.000 0.500

***

[9]
Compound: LaAl2TlAg
Source: Alexandria
Functional: PBE
Structure: relaxed

Properties
**E_form**: 0.67 eV/atom

a b c (Å): 5.131 6.103 5.131
angles (deg): 90.00 90.00 90.00
Positions (direct):
La1 0.000 0.500 0.000
Tl1 0.000 0.000 0.000
Al1 0.500 0.000 0.000
Ag1 0.500 0.500 0.500
Al2 0.000 0.000 0.500

***

[10]
Compound: Hf2AlVC
Source: Alexandria
Functional: PBE
Structure: relaxed

Properties
**E_form**: -0.44 eV/atom

a b c (Å): 4.506 4.506 3.945
angles (deg): 90.00 90.00 90.00
Positions (direct):
Al1 0.500 0.500 0.500
Hf1 0.000 0.500 0.000
Hf2 0.500 0.000 0.000
V1 0.000 0.000 0.500
C1 0.000 0.000 0.000

***

[11]
Compound: CeEuHg2
Source: Alexandria
Functional: PBE
Structure: relaxed

Properties
**E_form**: -0.41 eV/atom

a b c (Å): 5.465 5.465 5.465
angles (deg): 60.00 60.00 60.00
Positions (direct):
Hg1 0.250 0.250 0.250
Hg2 0.750 0.750 0.750
Eu1 0.000 0.000 0.000
Ce1 0.500 0.500 0.500

***

[12]
Compound: TaInPbO6
Source: Alexandria
Functional: PBE
Structure: relaxed

Properties
**DFT total energy**: -7.063 eV/atom

a b c (Å): 5.449 5.449 9.320
angles (deg): 90.00 90.00 120.00
Positions (direct):
Pb1 0.667 0.333 0.750
Ta1 0.333 0.667 0.750
O1 0.972 0.643 0.370
Ta2 0.667 0.333 0.250
O2 0.643 0.670 0.630
O3 0.670 0.643 0.130
Pb2 0.333 0.667 0.250
In1 0.000 0.000 0.000
O4 0.028 0.357 0.630
O5 0.028 0.670 0.870
O6 0.357 0.028 0.130
O7 0.330 0.357 0.870
O8 0.330 0.972 0.630
O9 0.972 0.330 0.130
O10 0.357 0.330 0.370
O11 0.670 0.028 0.370
In2 0.000 0.000 0.500
O12 0.643 0.972 0.870

***

Per-record total moment, μB per atom: 0.000; 0.000; 2.968; 0.000; 0.000; 0.422; 0.635; 0.000; 0.000; 0.000; 1.512; 0.000